1.
VASP calculation (PBE-GGA) on a relaxed Pr7HoCd2 crystal.

abc: 9.1722 16.4015 5.3713
angles: 90.00 90.00 90.00
Last column: nearest neighbours and their distance in Å.
Space group Cmmm (No. 65)
Symmetry-distinct sites (fractional):
Pr 0.0000 0.0000 0.0000 x2  2 Cd 3.22, 4 Pr 3.48
Pr 0.0000 0.2784 0.5000 x4  2 Cd 3.01
Pr 0.1834 0.3835 0.0000 x8  2 Cd 3.18-3.50, 2 Pr 3.36-3.48
Ho 0.0000 0.5000 0.5000 x2  10 Pr 3.63-3.70
Cd 0.0000 0.1961 0.0000 x4  5 Pr 3.01-3.22

Output
- ΔH_f (0 K) (eV/atom) = 0.36

***

2.
VASP calculation (PBE-GGA) on a relaxed PuBe2ZnAu5 crystal.

abc: 4.6885 4.6885 7.2410
angles: 90.00 90.00 90.00
Last column: nearest neighbours and their distance in Å.
Space group P4/mmm (No. 123)
Symmetry-distinct sites (fractional):
Pu 0.0000 0.0000 0.0000 x1  12 Au 3.15-3.32
Be 0.5000 0.5000 0.3324 x2  5 Au 2.36-2.41, 1 Be 2.43
Zn 0.0000 0.0000 0.5000 x1  8 Au 2.79
Au 0.0000 0.5000 0.2916 x4  2 Be 2.36
Au 0.5000 0.5000 0.0000 x1  2 Be 2.41

Output
- ΔH_f (0 K) (eV/atom) = -0.13

***

3.
VASP calculation (PBE-GGA) on a relaxed SbC3Cl crystal.

abc: 4.3600 4.3600 4.3600
angles: 90.00 90.00 90.00
Last column: nearest neighbours and their distance in Å.
Space group Pm-3m (No. 221)
Symmetry-distinct sites (fractional):
Sb 0.0000 0.0000 0.0000 x1  6 C 2.18
C 0.0000 0.0000 0.5000 x3  2 Sb 2.18
Cl 0.5000 0.5000 0.5000 x1  12 C 3.08

Output
- energy (eV per formula unit) = -18.43

***

4.
VASP calculation (PBE-GGA) on a relaxed YCd4Fe crystal.

abc: 8.0310 8.0310 8.0310
angles: 90.00 90.00 90.00
Last column: nearest neighbours and their distance in Å.
Space group F-43m (No. 216)
Symmetry-distinct sites (fractional):
Y 0.0000 0.0000 0.0000 x4  12 Cd 3.33, 4 Fe 3.48
Cd 0.1244 0.1244 0.6244 x16  6 Cd 2.83-2.85
Fe 0.2500 0.2500 0.2500 x4  12 Cd 3.33, 4 Y 3.48

Output
- ΔH_f (0 K) (eV/atom) = 0.15

***

5.
VASP calculation (PBE-GGA) on a relaxed Tb4Tl2Ni crystal.

abc: 6.6413 3.7001 8.6566
angles: 90.00 106.46 90.00
Last column: nearest neighbours and their distance in Å.
Space group P2/m (No. 10)
Symmetry-distinct sites (fractional):
Tb 0.0975 0.0000 0.2836 x2  1 Ni 2.80
Tb 0.3722 0.5000 0.6648 x2  2 Ni 2.62
Tl 0.2474 0.5000 0.9985 x2  6 Tb 3.22-3.45, 2 Tl 3.29-3.35
Ni 0.5000 0.0000 0.5000 x1  6 Tb 2.62-2.80

Output
- ΔH_f (0 K) (eV/atom) = -0.18

***

6.
VASP calculation (PBE-GGA) on a relaxed TbErCo crystal.

abc: 5.6459 3.7639 7.0589
angles: 90.00 95.67 90.00
Last column: nearest neighbours and their distance in Å.
Space group P2_1/m (No. 11)
Symmetry-distinct sites (fractional):
Tb 0.1810 0.2500 0.3246 x2  3 Co 2.74-2.99
Er 0.3445 0.2500 0.8347 x2  4 Co 2.73-2.99
Co 0.1334 0.7500 0.0421 x2  2 Co 2.45, 2 Er 2.73, 2 Tb 2.74

Output
- ΔH_f (0 K) (eV/atom) = -0.14